A relaxed structure of Mn3GeC, computed with PBE-GGA.

Cell and atoms, written as POSCAR:
```
Mn3GeC
1.0
2.9246 0.0000 0.0000
0.0000 6.4030 -0.4115
0.0000 -1.8176 6.4367
Mn Ge C
6 2 2
Direct
0.2500 0.6573 0.0642
0.7500 0.6206 0.3978
0.2500 0.9885 0.6668
0.7500 0.0115 0.3332
0.2500 0.3794 0.6022
0.7500 0.3427 0.9358
0.7500 0.7248 0.8002
0.2500 0.2752 0.1998
0.7500 0.1877 0.6391
0.2500 0.8123 0.3609
```

Values from the calculation:
* D(E_F): 0.669 states/eV/atom
* DFT total energy: -82.96 eV/cell
* formation energy from the elements: -0.026 eV/atom